[1]
Below is crystalline LiZrGaPt at its relaxed geometry, with properties calculated at the GGA-PBE level. Values from VASP.

Geometry as Quantum ESPRESSO input:
```
&SYSTEM
  ibrav = 0, nat = 4, ntyp = 4
/
ATOMIC_SPECIES
Ga 69.72 Ga.upf
Pt 195.08 Pt.upf
Li 6.94 Li.upf
Zr 91.22 Zr.upf
CELL_PARAMETERS angstrom
0.000 3.152 3.152
3.152 0.000 3.152
3.152 3.152 0.000
ATOMIC_POSITIONS crystal
Ga 0.250 0.250 0.250
Pt 0.500 0.500 0.500
Li 0.750 0.750 0.750
Zr 0.000 0.000 0.000
```

Values from the calculation:
Space group: F-43m, No. 216
Uncorrected energy, eV per cell: -21.89
E above lowest polymorph, meV/atom: 250.6

---

[2]
Below is crystalline ReAgAs at its relaxed geometry, with properties calculated at the GGA-PBE level. Values from VASP.

Geometry as Quantum ESPRESSO input:
```
&SYSTEM
  ibrav = 0, nat = 3, ntyp = 3
/
ATOMIC_SPECIES
Ag 107.87 Ag.upf
Re 186.21 Re.upf
As 74.92 As.upf
CELL_PARAMETERS angstrom
0.000 2.978 2.978
2.978 0.000 2.978
2.978 2.978 0.000
ATOMIC_POSITIONS crystal
Ag 0.250 0.250 0.250
Re 0.750 0.750 0.750
As 0.000 0.000 0.000
```

Values from the calculation:
Space group: F-43m, No. 216
Uncorrected energy, eV per cell: -17.70
E above lowest polymorph, meV/atom: 0.0

---

[3]
Below is crystalline GaNi at its relaxed geometry, with properties calculated at the GGA-PBE level. Values from VASP.

Geometry as Quantum ESPRESSO input:
```
&SYSTEM
  ibrav = 0, nat = 2, ntyp = 2
/
ATOMIC_SPECIES
Ni 58.69 Ni.upf
Ga 69.72 Ga.upf
CELL_PARAMETERS angstrom
2.909 0.000 0.000
0.000 2.909 0.000
0.000 0.000 2.909
ATOMIC_POSITIONS crystal
Ni 0.500 0.500 0.500
Ga 0.000 0.000 0.000
```

Values from the calculation:
Space group: Pm-3m, No. 221
Uncorrected energy, eV per cell: -9.35

---

[4]
Below is crystalline LiInOsW at its relaxed geometry, with properties calculated at the GGA-PBE level. Values from VASP.

Geometry as Quantum ESPRESSO input:
```
&SYSTEM
  ibrav = 0, nat = 4, ntyp = 4
/
ATOMIC_SPECIES
In 114.82 In.upf
Os 190.23 Os.upf
Li 6.94 Li.upf
W 183.84 W.upf
CELL_PARAMETERS angstrom
0.000 3.153 3.153
3.153 0.000 3.153
3.153 3.153 0.000
ATOMIC_POSITIONS crystal
In 0.250 0.250 0.250
Os 0.000 0.000 0.000
Li 0.750 0.750 0.750
W 0.500 0.500 0.500
```

Values from the calculation:
Space group: F-43m, No. 216
Uncorrected energy, eV per cell: -25.35
E above lowest polymorph, meV/atom: 792.3

---

[5]
Below is crystalline ZrCoSiTc at its relaxed geometry, with properties calculated at the GGA-PBE level. Values from VASP.

Geometry as Quantum ESPRESSO input:
```
&SYSTEM
  ibrav = 0, nat = 4, ntyp = 4
/
ATOMIC_SPECIES
Co 58.93 Co.upf
Si 28.09 Si.upf
Zr 91.22 Zr.upf
Tc 98.00 Tc.upf
CELL_PARAMETERS angstrom
0.000 3.120 3.120
3.120 0.000 3.120
3.120 3.120 0.000
ATOMIC_POSITIONS crystal
Co 0.750 0.750 0.750
Si 0.000 0.000 0.000
Zr 0.250 0.250 0.250
Tc 0.500 0.500 0.500
```

Values from the calculation:
Space group: F-43m, No. 216
Uncorrected energy, eV per cell: -31.23
E above lowest polymorph, meV/atom: 495.0

---

[6]
Below is crystalline SmReTe at its relaxed geometry, with properties calculated at the GGA-PBE level. Values from VASP.

Geometry as Quantum ESPRESSO input:
```
&SYSTEM
  ibrav = 0, nat = 3, ntyp = 3
/
ATOMIC_SPECIES
Sm 150.36 Sm.upf
Te 127.60 Te.upf
Re 186.21 Re.upf
CELL_PARAMETERS angstrom
-3.228 -3.147 1.943
-4.775 1.135 0.107
-3.156 -2.386 -2.906
ATOMIC_POSITIONS crystal
Sm 0.000 0.000 0.000
Te 0.750 0.750 0.750
Re 0.250 0.250 0.250
```

Values from the calculation:
Space group: F-43m, No. 216
Uncorrected energy, eV per cell: -17.25
E above lowest polymorph, meV/atom: 429.2

---

[7]
Below is crystalline Dy3YSn2C2 at its relaxed geometry, with properties calculated at the GGA-PBE level. Values from VASP.

Geometry as Quantum ESPRESSO input:
```
&SYSTEM
  ibrav = 0, nat = 8, ntyp = 4
/
ATOMIC_SPECIES
Sn 118.71 Sn.upf
Dy 162.50 Dy.upf
C 12.01 C.upf
Y 88.91 Y.upf
CELL_PARAMETERS angstrom
-0.763 -0.602 3.491
-1.856 -1.732 -2.585
10.625 -11.808 0.284
ATOMIC_POSITIONS crystal
Sn 0.000 0.000 0.250
Sn 0.667 0.333 0.750
Dy 0.667 0.333 0.084
Dy 0.667 0.333 0.416
Dy 0.000 0.000 0.584
C 0.333 0.667 0.500
C 0.333 0.667 0.001
Y 0.000 0.000 0.915
```

Values from the calculation:
Space group: P3m1, No. 156
Uncorrected energy, eV per cell: -51.05

---

[8]
Below is crystalline LuZnInTe3 at its relaxed geometry, with properties calculated at the GGA-PBE level. Values from VASP.

Geometry as Quantum ESPRESSO input:
```
&SYSTEM
  ibrav = 0, nat = 24, ntyp = 4
/
ATOMIC_SPECIES
Te 127.60 Te.upf
In 114.82 In.upf
Zn 65.41 Zn.upf
Lu 174.97 Lu.upf
CELL_PARAMETERS angstrom
10.441 0.000 0.000
0.000 4.410 0.000
0.000 0.000 16.494
ATOMIC_POSITIONS crystal
Te 0.338 0.750 0.526
Te 0.662 0.250 0.474
Te 0.830 0.250 0.197
Te 0.170 0.750 0.803
Te 0.508 0.250 0.892
Te 0.330 0.250 0.303
Te 0.492 0.750 0.108
Te 0.838 0.750 0.974
Te 0.162 0.250 0.026
Te 0.008 0.250 0.608
Te 0.670 0.750 0.697
Te 0.992 0.750 0.392
In 0.557 0.750 0.306
In 0.057 0.750 0.194
In 0.943 0.250 0.806
In 0.443 0.250 0.694
Zn 0.176 0.750 0.646
Zn 0.324 0.250 0.146
Zn 0.676 0.750 0.854
Zn 0.824 0.250 0.354
Lu 0.176 0.250 0.455
Lu 0.676 0.250 0.045
Lu 0.324 0.750 0.955
Lu 0.824 0.750 0.545
```

Values from the calculation:
Space group: Pnma, No. 62
Uncorrected energy, eV per cell: -87.70
E above lowest polymorph, meV/atom: 86.8

---

Number 1: size of the total moment 0.00 μB/f.u.. Number 2: size of the total moment 0.00 μB/f.u.. Number 3: size of the total moment 0.00 μB/f.u.. Number 4: size of the total moment 0.60 μB/f.u.. Number 5: size of the total moment 2.95 μB/f.u.. Number 6: size of the total moment 0.16 μB/f.u.. Number 7: size of the total moment 0.03 μB/f.u.. Number 8: size of the total moment 0.00 μB/f.u..